Density functional theory data (GGA-PBE) for a relaxed structure of LiY2Zn.

Output
Crystal system = trigonal
Space-group type = R3m
ΔE_f = 0.01 eV per atom
DFT total energy = -4.02 eV per atom

Structure (POSCAR):
```
LiY2Zn
1.0
3.5451 0.0000 0.0000
1.7725 3.0701 0.0000
1.7725 1.0234 9.8768
Y Zn Li
2 1 1
Direct
0.0747 0.0747 0.7760 Y
0.2586 0.2586 0.2241 Y
0.6665 0.6665 0.0005 Zn
0.5002 0.5002 0.4993 Li
```

=====

Density functional theory data (GGA-PBE) for a relaxed structure of Mn2CoPb.

Output
Crystal system = tetragonal
Space-group type = I-42d
Distance to the lowest polymorph of the same formula = 323.9 meV per atom
ΔE_f = 0.64 eV per atom
DFT total energy = -6.65 eV per atom

Structure (POSCAR):
```
Mn2CoPb
1.0
7.1697 0.0000 0.0000
0.0000 7.1697 0.0000
3.5848 3.5848 2.6513
Pb Mn Co
2 4 2
Direct
0.0000 0.0000 0.0000 Pb
0.7500 0.2500 0.5000 Pb
0.1762 0.6250 0.2500 Mn
0.8750 0.8238 0.7500 Mn
0.3750 0.4262 0.7500 Mn
0.5738 0.1250 0.2500 Mn
0.5000 0.5000 0.0000 Co
0.2500 0.7500 0.5000 Co
```

=====

Density functional theory data (GGA-PBE) for a relaxed structure of La2AlAgIr.

Output
Crystal system = tetragonal
Space-group type = P4/mmm
Distance to the lowest polymorph of the same formula = 148.0 meV per atom
ΔE_f = -0.41 eV per atom
DFT total energy = -5.47 eV per atom

Structure (POSCAR):
```
La2AlAgIr
1.0
5.5798 0.0000 0.0000
0.0000 5.5798 0.0000
0.0000 0.0000 4.7894
La Ir Al Ag
2 1 1 1
Direct
0.5000 0.0000 0.0000 La
0.0000 0.5000 0.0000 La
0.0000 0.0000 0.0000 Ir
0.0000 0.0000 0.5000 Al
0.5000 0.5000 0.5000 Ag
```